1.
Below is a crystal of Zn2MoPd relaxed with PBEsol, with properties calculated at the SCAN level.

Output
The volume comes out at 56.6 Å³ per cell. The total magnetization comes out at 0.577 μB/atom. The calculation puts the formation energy at 0.09 eV/f.u. The calculated total energy comes out at -23.6508 eV/atom.

Structure (CIF):
```
data_Zn2MoPd
_chemical_formula_sum 'Zn2 Mo1 Pd1'
_cell_length_a 4.309
_cell_length_b 4.309
_cell_length_c 4.309
_cell_angle_alpha 60.00
_cell_angle_beta 60.00
_cell_angle_gamma 60.00
_space_group_name_H-M_alt 'P 1'
_space_group_IT_number 1
loop_
_space_group_symop_operation_xyz
'x,y,z'
loop_
_atom_site_label
_atom_site_type_symbol
_atom_site_fract_x
_atom_site_fract_y
_atom_site_fract_z
Mo1 Mo 0.000 0.000 0.000
Pd1 Pd 0.500 0.500 0.500
Zn1 Zn 0.750 0.750 0.750
Zn2 Zn 0.250 0.250 0.250
```

2.
Below is a crystal of NaCuTcMo2 relaxed with PBEsol, with properties calculated at the SCAN level.

Output
The volume comes out at 105.7 Å³ per cell. The total magnetization comes out at 0.482 μB/atom. The calculation puts the formation energy at 8.85 eV/f.u. The calculated total energy comes out at -23.0780 eV/atom.

Structure (CIF):
```
data_NaCuTcMo2
_chemical_formula_sum 'Na1 Cu1 Tc1 Mo2'
_cell_length_a 4.551
_cell_length_b 4.551
_cell_length_c 5.100
_cell_angle_alpha 90.00
_cell_angle_beta 90.00
_cell_angle_gamma 90.00
_space_group_name_H-M_alt 'P 1'
_space_group_IT_number 1
loop_
_space_group_symop_operation_xyz
'x,y,z'
loop_
_atom_site_label
_atom_site_type_symbol
_atom_site_fract_x
_atom_site_fract_y
_atom_site_fract_z
Mo1 Mo 0.500 0.000 0.000
Mo2 Mo 0.000 0.500 0.000
Na1 Na 0.000 0.000 0.500
Cu1 Cu 0.500 0.500 0.500
Tc1 Tc 0.000 0.000 0.000
```

3.
Below is a crystal of ZnInTc2 relaxed with PBEsol, with properties calculated at the SCAN level.

Output
The volume comes out at 61.5 Å³ per cell. The total magnetization comes out at 0.000 μB/atom. The calculation puts the formation energy at 1.01 eV/f.u. The calculated total energy comes out at -29.0026 eV/atom.

Structure (CIF):
```
data_ZnInTc2
_chemical_formula_sum 'Zn1 In1 Tc2'
_cell_length_a 2.885
_cell_length_b 4.662
_cell_length_c 4.862
_cell_angle_alpha 98.16
_cell_angle_beta 90.00
_cell_angle_gamma 108.02
_space_group_name_H-M_alt 'P 1'
_space_group_IT_number 1
loop_
_space_group_symop_operation_xyz
'x,y,z'
loop_
_atom_site_label
_atom_site_type_symbol
_atom_site_fract_x
_atom_site_fract_y
_atom_site_fract_z
Tc1 Tc 0.994 0.988 0.966
Tc2 Tc 0.253 0.507 0.768
In1 In 0.748 0.495 0.263
Zn1 Zn 0.505 0.010 0.504
```

4.
Below is a crystal of Sr2ZrSc relaxed with PBEsol, with properties calculated at the SCAN level.

Output
The volume comes out at 126.8 Å³ per cell. The total magnetization comes out at 0.422 μB/atom. The calculation puts the formation energy at 2.30 eV/f.u. The calculated total energy comes out at -21.7960 eV/atom.

Structure (CIF):
```
data_Sr2ZrSc
_chemical_formula_sum 'Sr2 Zr1 Sc1'
_cell_length_a 3.378
_cell_length_b 3.378
_cell_length_c 11.786
_cell_angle_alpha 90.00
_cell_angle_beta 90.00
_cell_angle_gamma 109.52
_space_group_name_H-M_alt 'P 1'
_space_group_IT_number 1
loop_
_space_group_symop_operation_xyz
'x,y,z'
loop_
_atom_site_label
_atom_site_type_symbol
_atom_site_fract_x
_atom_site_fract_y
_atom_site_fract_z
Sr1 Sr 0.000 0.000 0.745
Sr2 Sr 0.000 0.000 0.255
Sc1 Sc 0.500 0.500 0.000
Zr1 Zr 0.500 0.500 0.500
```

5.
Below is a crystal of Mn2SiNi relaxed with PBEsol, with properties calculated at the SCAN level.

Output
The volume comes out at 43.1 Å³ per cell. The total magnetization comes out at 0.209 μB/atom. Its uncorrected formation energy is -0.3132 eV per atom. The calculated total energy comes out at -15.9881 eV/atom.

Structure (CIF):
```
data_Mn2SiNi
_chemical_formula_sum 'Mn2 Si1 Ni1'
_cell_length_a 2.772
_cell_length_b 4.027
_cell_length_c 4.283
_cell_angle_alpha 106.51
_cell_angle_beta 108.88
_cell_angle_gamma 90.00
_space_group_name_H-M_alt 'P 1'
_space_group_IT_number 1
loop_
_space_group_symop_operation_xyz
'x,y,z'
loop_
_atom_site_label
_atom_site_type_symbol
_atom_site_fract_x
_atom_site_fract_y
_atom_site_fract_z
Ni1 Ni 0.490 0.448 0.980
Mn1 Mn 0.257 0.800 0.513
Mn2 Mn 0.000 0.957 0.001
Si1 Si 0.753 0.295 0.505
```

6.
Below is a crystal of TiAlAs2Pb relaxed with PBEsol, with properties calculated at the SCAN level.

Output
The volume comes out at 117.7 Å³ per cell. The total magnetization comes out at 0.000 μB/atom. The calculation puts the formation energy at 0.77 eV/f.u. The calculated total energy comes out at -27.8354 eV/atom.

Structure (CIF):
```
data_TiAlAs2Pb
_chemical_formula_sum 'Ti1 Al1 As2 Pb1'
_cell_length_a 4.853
_cell_length_b 4.853
_cell_length_c 4.999
_cell_angle_alpha 90.00
_cell_angle_beta 90.00
_cell_angle_gamma 90.00
_space_group_name_H-M_alt 'P 1'
_space_group_IT_number 1
loop_
_space_group_symop_operation_xyz
'x,y,z'
loop_
_atom_site_label
_atom_site_type_symbol
_atom_site_fract_x
_atom_site_fract_y
_atom_site_fract_z
Al1 Al 0.000 0.000 0.500
Pb1 Pb 0.500 0.500 0.500
As1 As 0.000 0.500 0.000
As2 As 0.500 0.000 0.000
Ti1 Ti 0.000 0.000 0.000
```

7.
Below is a crystal of K3TlF6 relaxed with PBEsol, with properties calculated at the SCAN level.

Output
The volume comes out at 195.7 Å³ per cell. The total magnetization comes out at 0.000 μB/atom. Its uncorrected formation energy is -2.5200 eV per atom. The calculated total energy comes out at -14.3785 eV/atom.

Structure (CIF):
```
data_K3TlF6
_chemical_formula_sum 'K3 Tl1 F6'
_cell_length_a 6.517
_cell_length_b 6.517
_cell_length_c 6.517
_cell_angle_alpha 60.00
_cell_angle_beta 60.00
_cell_angle_gamma 60.00
_space_group_name_H-M_alt 'P 1'
_space_group_IT_number 1
loop_
_space_group_symop_operation_xyz
'x,y,z'
loop_
_atom_site_label
_atom_site_type_symbol
_atom_site_fract_x
_atom_site_fract_y
_atom_site_fract_z
F1 F 0.766 0.234 0.234
F2 F 0.766 0.766 0.234
F3 F 0.766 0.234 0.766
F4 F 0.234 0.766 0.234
F5 F 0.234 0.234 0.766
F6 F 0.234 0.766 0.766
Tl1 Tl 0.000 0.000 0.000
K1 K 0.500 0.500 0.500
K2 K 0.250 0.250 0.250
K3 K 0.750 0.750 0.750
```

8.
Below is a crystal of CaPd2Se relaxed with PBEsol, with properties calculated at the SCAN level.

Output
The volume comes out at 70.1 Å³ per cell. The total magnetization comes out at 0.000 μB/atom. Its uncorrected formation energy is -0.5877 eV per atom. The calculated total energy comes out at -24.4103 eV/atom.

Structure (CIF):
```
data_CaPd2Se
_chemical_formula_sum 'Ca1 Pd2 Se1'
_cell_length_a 4.628
_cell_length_b 4.628
_cell_length_c 4.628
_cell_angle_alpha 60.00
_cell_angle_beta 60.00
_cell_angle_gamma 60.00
_space_group_name_H-M_alt 'P 1'
_space_group_IT_number 1
loop_
_space_group_symop_operation_xyz
'x,y,z'
loop_
_atom_site_label
_atom_site_type_symbol
_atom_site_fract_x
_atom_site_fract_y
_atom_site_fract_z
Pd1 Pd 0.750 0.750 0.750
Pd2 Pd 0.250 0.250 0.250
Ca1 Ca 0.000 0.000 0.000
Se1 Se 0.500 0.500 0.500
```

9.
Below is a crystal of CuSi3Au relaxed with PBEsol, with properties calculated at the SCAN level.

Output
The volume comes out at 87.2 Å³ per cell. The total magnetization comes out at 0.000 μB/atom. Its uncorrected formation energy is 0.8256 eV per atom. The calculated total energy comes out at -22.0552 eV/atom.

Structure (CIF):
```
data_CuSi3Au
_chemical_formula_sum 'Cu1 Si3 Au1'
_cell_length_a 4.434
_cell_length_b 4.434
_cell_length_c 4.434
_cell_angle_alpha 90.00
_cell_angle_beta 90.00
_cell_angle_gamma 90.00
_space_group_name_H-M_alt 'P 1'
_space_group_IT_number 1
loop_
_space_group_symop_operation_xyz
'x,y,z'
loop_
_atom_site_label
_atom_site_type_symbol
_atom_site_fract_x
_atom_site_fract_y
_atom_site_fract_z
Si1 Si 0.500 0.000 0.000
Si2 Si 0.000 0.500 0.000
Si3 Si 0.000 0.000 0.500
Cu1 Cu 0.000 0.000 0.000
Au1 Au 0.500 0.500 0.500
```

10.
Below is a crystal of Ru3Rh relaxed with PBEsol, with properties calculated at the SCAN level.

Output
The volume comes out at 213.5 Å³ per cell. The total magnetization comes out at 0.000 μB/atom. The calculation puts the formation energy at 0.28 eV/f.u. The calculated total energy comes out at -34.4921 eV/atom.

Structure (CIF):
```
data_Ru3Rh
_chemical_formula_sum 'Ru12 Rh4'
_cell_length_a 5.346
_cell_length_b 5.346
_cell_length_c 8.625
_cell_angle_alpha 90.00
_cell_angle_beta 90.00
_cell_angle_gamma 120.00
_space_group_name_H-M_alt 'P 1'
_space_group_IT_number 1
loop_
_space_group_symop_operation_xyz
'x,y,z'
loop_
_atom_site_label
_atom_site_type_symbol
_atom_site_fract_x
_atom_site_fract_y
_atom_site_fract_z
Ru1 Ru 0.500 0.000 0.000
Ru2 Ru 0.500 0.500 0.500
Ru3 Ru 0.500 0.500 0.000
Ru4 Ru 0.665 0.833 0.750
Ru5 Ru 0.167 0.833 0.750
Ru6 Ru 0.833 0.665 0.250
Ru7 Ru 0.335 0.167 0.250
Ru8 Ru 0.167 0.335 0.750
Ru9 Ru 0.833 0.167 0.250
Ru10 Ru 0.000 0.500 0.000
Ru11 Ru 0.500 0.000 0.500
Ru12 Ru 0.000 0.500 0.500
Rh1 Rh 0.333 0.667 0.250
Rh2 Rh 0.000 0.000 0.000
Rh3 Rh 0.667 0.333 0.750
Rh4 Rh 0.000 0.000 0.500
```

11.
Below is a crystal of Rb2PrAgF6 relaxed with PBEsol, with properties calculated at the SCAN level.

Output
The volume comes out at 200.9 Å³ per cell. The total magnetization comes out at 0.008 μB/atom. Its uncorrected formation energy is -3.0266 eV per atom. The calculated total energy comes out at -16.7678 eV/atom.

Structure (CIF):
```
data_Rb2PrAgF6
_chemical_formula_sum 'Rb2 Pr1 Ag1 F6'
_cell_length_a 6.574
_cell_length_b 6.574
_cell_length_c 6.574
_cell_angle_alpha 60.00
_cell_angle_beta 60.00
_cell_angle_gamma 60.00
_space_group_name_H-M_alt 'P 1'
_space_group_IT_number 1
loop_
_space_group_symop_operation_xyz
'x,y,z'
loop_
_atom_site_label
_atom_site_type_symbol
_atom_site_fract_x
_atom_site_fract_y
_atom_site_fract_z
F1 F 0.756 0.756 0.244
F2 F 0.244 0.756 0.244
F3 F 0.756 0.244 0.756
F4 F 0.756 0.244 0.244
F5 F 0.244 0.244 0.756
F6 F 0.244 0.756 0.756
Pr1 Pr 0.000 0.000 0.000
Ag1 Ag 0.500 0.500 0.500
Rb1 Rb 0.250 0.250 0.250
Rb2 Rb 0.750 0.750 0.750
```

12.
Below is a crystal of MgRu2Se relaxed with PBEsol, with properties calculated at the SCAN level.

Output
The volume comes out at 57.7 Å³ per cell. The total magnetization comes out at 0.000 μB/atom. Its uncorrected formation energy is 0.0285 eV per atom. The calculated total energy comes out at -23.6477 eV/atom.

Structure (CIF):
```
data_MgRu2Se
_chemical_formula_sum 'Mg1 Ru2 Se1'
_cell_length_a 3.031
_cell_length_b 3.031
_cell_length_c 6.278
_cell_angle_alpha 90.00
_cell_angle_beta 90.00
_cell_angle_gamma 90.00
_space_group_name_H-M_alt 'P 1'
_space_group_IT_number 1
loop_
_space_group_symop_operation_xyz
'x,y,z'
loop_
_atom_site_label
_atom_site_type_symbol
_atom_site_fract_x
_atom_site_fract_y
_atom_site_fract_z
Ru1 Ru 0.000 0.000 0.771
Ru2 Ru 0.000 0.000 0.229
Se1 Se 0.500 0.500 0.000
Mg1 Mg 0.500 0.500 0.500
```